1.
SrInPb (SCAN, single point on PBEsol structure); calculated total energy = -132.81 eV for the cell shown; magnetization = 0.0 μB/f.u.; symmetry = F-43m
1.0
0.000 3.716 3.716
3.716 0.000 3.716
3.716 3.716 0.000
Sr In Pb
1 1 1
Direct
0.000 0.000 0.000 Sr
0.500 0.500 0.500 In
0.250 0.250 0.250 Pb

2.
SrIn2Pb (SCAN, single point on PBEsol structure); calculated total energy = -166.53 eV for the cell shown; magnetization = 0.0 μB/f.u.; symmetry = P4/mmm
1.0
4.741 0.000 0.000
0.000 4.741 0.000
0.000 0.000 4.955
Sr In Pb
1 2 1
Direct
0.000 0.000 0.000 Sr
0.000 0.500 0.500 In
0.500 0.000 0.500 In
0.500 0.500 0.000 Pb

3.
SrIn3Pb (SCAN, single point on PBEsol structure); calculated total energy = -197.34 eV for the cell shown; magnetization = 0.0 μB/f.u.; symmetry = Pm-3m
1.0
5.717 0.000 0.000
0.000 5.717 0.000
0.000 0.000 5.717
Sr In Pb
1 3 1
Direct
0.000 0.000 0.000 Sr
0.000 0.500 0.500 In
0.500 0.000 0.500 In
0.500 0.500 0.000 In
0.500 0.500 0.500 Pb

4.
SrIn2Pb (SCAN, single point on PBEsol structure); calculated total energy = -166.23 eV for the cell shown; magnetization = 0.0 μB/f.u.; symmetry = P4mm
1.0
3.998 0.000 0.000
0.000 3.998 0.000
0.000 0.000 7.260
Sr In Pb
1 2 1
Direct
0.000 0.000 0.000 Sr
0.000 0.000 0.488 In
0.500 0.500 0.285 In
0.500 0.500 0.708 Pb

5.
SrIn2Pb (SCAN, single point on PBEsol structure); calculated total energy = -166.33 eV for the cell shown; magnetization = 0.0 μB/f.u.; symmetry = Imm2
1.0
-2.366 2.386 5.035
2.366 -2.386 5.035
2.366 2.386 -5.035
Sr In Pb
1 2 1
Direct
0.000 0.000 0.000 Sr
0.248 0.748 0.500 In
0.480 0.480 0.000 In
0.744 0.244 0.500 Pb

6.
SrIn2Pb (SCAN, single point on PBEsol structure); calculated total energy = -166.16 eV for the cell shown; magnetization = 0.0 μB/f.u.; symmetry = P4/mmm
1.0
3.981 0.000 0.000
0.000 3.981 0.000
0.000 0.000 7.385
Sr In Pb
1 2 1
Direct
0.000 0.000 0.000 Sr
0.500 0.500 0.286 In
0.500 0.500 0.714 In
0.000 0.000 0.500 Pb

7.
SrIn2Pb (SCAN, single point on PBEsol structure); calculated total energy = -166.39 eV for the cell shown; magnetization = 0.0 μB/f.u.; symmetry = Cm
1.0
4.778 -2.333 0.000
4.778 2.333 0.000
-2.051 0.000 5.317
Sr In Pb
1 2 1
Direct
0.000 0.000 0.000 Sr
0.489 0.489 0.468 In
0.760 0.760 0.313 In
0.239 0.239 0.697 Pb

8.
TaInPb (SCAN, single point on PBEsol structure); calculated total energy = -173.78 eV for the cell shown; magnetization = 0.0 μB/f.u.; symmetry = P3m1; energy above the most stable polymorph in this dataset = 0.50 eV per formula unit
1.0
5.076 0.000 0.000
-2.538 4.396 0.000
0.000 0.000 2.942
Ta In Pb
1 1 1
Direct
0.000 0.000 0.000 Ta
0.333 0.667 0.391 In
0.667 0.333 0.707 Pb

9.
TaInPb (SCAN, single point on PBEsol structure); calculated total energy = -174.29 eV for the cell shown; magnetization = 0.0 μB/f.u.; symmetry = Imm2; energy above the most stable polymorph in this dataset = 0.00 eV per formula unit
1.0
-1.632 1.986 4.946
1.632 -1.986 4.946
1.632 1.986 -4.946
Ta In Pb
1 1 1
Direct
0.000 0.000 0.000 Ta
0.351 0.351 0.000 In
0.667 0.667 0.000 Pb

10.
Ta2InPb (SCAN, single point on PBEsol structure); calculated total energy = -240.69 eV for the cell shown; magnetization = 0.0 μB/f.u.; symmetry = Immm
1.0
-1.734 2.463 4.665
1.734 -2.463 4.665
1.734 2.463 -4.665
Ta In Pb
2 1 1
Direct
0.250 0.250 0.000 Ta
0.750 0.750 0.000 Ta
0.500 0.000 0.500 In
0.000 0.500 0.500 Pb

11.
Ta2InPb (SCAN, single point on PBEsol structure); calculated total energy = -240.52 eV for the cell shown; magnetization = 0.0 μB/f.u.; symmetry = R-3m
1.0
1.541 0.890 9.731
-1.541 0.890 9.731
0.000 -1.779 9.731
Ta In Pb
2 1 1
Direct
0.249 0.249 0.249 Ta
0.751 0.751 0.751 Ta
0.500 0.500 0.500 In
0.000 0.000 0.000 Pb

12.
InTc2Pb (SCAN, single point on PBEsol structure); calculated total energy = -178.55 eV for the cell shown; magnetization = 0.0 μB/f.u.; symmetry = P4mm; energy above the most stable polymorph in this dataset = 0.00 eV per formula unit
1.0
3.021 0.000 0.000
0.000 3.021 0.000
0.000 0.000 8.491
In Tc Pb
1 2 1
Direct
0.000 0.000 0.000 In
0.000 0.000 0.606 Tc
0.500 0.500 0.769 Tc
0.500 0.500 0.349 Pb